(1)
## VCuSO (GGA+U)

Data for crystalline VCuSO at its relaxed geometry.

Cell lengths 3.526, 3.526, 8.299 Å; angles 90.00, 90.00, 90.00 degrees
Space group P4/nmm (No. 129, origin choice 2)
Asymmetric unit:
V  0.250  0.250  0.123 x2
Cu  0.250  0.750  0.500 x2
S  0.250  0.250  0.695 x2
O  0.250  0.750  0.000 x2

Summary:
excess energy over the best structure of this formula in the dataset	0.067	eV/atom

(2)
## VCuSO (GGA+U)

Data for crystalline VCuSO at its relaxed geometry.

Cell lengths 3.340, 5.676, 5.925 Å; angles 101.52, 92.58, 92.22 degrees
Space group P-1 (No. 2)
Asymmetric unit:
V  0.000  0.000  0.000 x1
V  0.500  0.500  0.000 x1
Cu  0.067  0.250  0.538 x2
S  0.471  0.777  0.724 x2
O  0.011  0.705  0.137 x2

Summary:
excess energy over the best structure of this formula in the dataset	0.035	eV/atom

Number 1: Fermi-level density of states 0.000 states/eV per atom, uncorrected energy -6.03 eV per atom. Number 2: Fermi-level density of states 0.000 states/eV per atom, uncorrected energy -6.06 eV per atom.